Entry from the Alexandria database: a relaxed structure of SrNdMnSnO6 (PBE with a Hubbard U).

Values from the calculation:
The total energy comes out at -6.985 eV/atom. As for the space-group type: F-43m (216).

Cell lengths 5.6905, 5.6905, 5.6905 Å; angles 60.00, 60.00, 60.00 degrees
With the nearest neighbours (Å) after each atom.
Atoms (fractional coordinates):
O 0.2467 0.2467 0.7533  1 Mn 1.99, 1 Sn 2.04
O 0.7533 0.2467 0.2467  1 Mn 1.99, 1 Sn 2.04
O 0.2467 0.7533 0.2467  1 Mn 1.99, 1 Sn 2.04
O 0.2467 0.7533 0.7533  1 Mn 1.99, 1 Sn 2.04
O 0.7533 0.2467 0.7533  1 Mn 1.99, 1 Sn 2.04
Nd 0.7500 0.7500 0.7500  12 O 2.85
Mn 0.0000 0.0000 0.0000  6 O 1.99
Sr 0.2500 0.2500 0.2500  12 O 2.85
O 0.7533 0.7533 0.2467  1 Mn 1.99, 1 Sn 2.04
Sn 0.5000 0.5000 0.5000  6 O 2.04